Record 1
# NiW5 | the Alexandria database | PBE | relaxed
data_NiW5
_cell_length_a 5.2660
_cell_length_b 5.2660
_cell_length_c 4.4921
_cell_angle_alpha 90.00
_cell_angle_beta 90.00
_cell_angle_gamma 120.00
_symmetry_space_group_name_H-M 'P 6/m m m'
_symmetry_Int_Tables_number 191
_symmetry_space_group_name_Hall '-P 6 2'
loop_
_atom_site_label
_atom_site_type_symbol
_atom_site_fract_x
_atom_site_fract_y
_atom_site_fract_z
Ni1 Ni 0.0000 0.0000 0.0000
W1 W 0.0000 0.5000 0.5000
W2 W 0.3333 0.6667 0.0000
# Energy of formation (eV/atom): 0.89

Record 2
# Ni3W2 | the Alexandria database | PBE | relaxed
data_Ni3W2
_cell_length_a 8.303
_cell_length_b 12.616
_cell_length_c 4.931
_cell_angle_alpha 90.00
_cell_angle_beta 90.00
_cell_angle_gamma 90.00
_symmetry_space_group_name_H-M 'F d d 2'
_symmetry_Int_Tables_number 43
_symmetry_space_group_name_Hall 'F 2 -2d'
loop_
_atom_site_label
_atom_site_type_symbol
_atom_site_fract_x
_atom_site_fract_y
_atom_site_fract_z
Ni1 Ni 0.000 0.000 0.000
Ni2 Ni 0.057 0.385 0.117
W1 W 0.056 0.305 0.629
# Energy of formation (eV/atom): 0.11

Record 3
# NiW2 | the Alexandria database | PBE | relaxed
data_NiW2
_cell_length_a 5.222
_cell_length_b 4.228
_cell_length_c 7.875
_cell_angle_alpha 90.00
_cell_angle_beta 90.00
_cell_angle_gamma 90.00
_symmetry_space_group_name_H-M 'P n m a'
_symmetry_Int_Tables_number 62
_symmetry_space_group_name_Hall '-P 2ac 2n'
loop_
_atom_site_label
_atom_site_type_symbol
_atom_site_fract_x
_atom_site_fract_y
_atom_site_fract_z
Ni1 Ni 0.146 0.250 0.119
W1 W 0.112 0.250 0.789
W2 W 0.134 0.250 0.446
# Energy of formation (eV/atom): 0.16

Record 4
# NiW5 | the Alexandria database | PBE | relaxed
data_NiW5
_cell_length_a 4.630
_cell_length_b 2.646
_cell_length_c 15.324
_cell_angle_alpha 90.00
_cell_angle_beta 90.00
_cell_angle_gamma 90.00
_symmetry_space_group_name_H-M 'A m m 2'
_symmetry_Int_Tables_number 38
_symmetry_space_group_name_Hall 'A 2 -2'
loop_
_atom_site_label
_atom_site_type_symbol
_atom_site_fract_x
_atom_site_fract_y
_atom_site_fract_z
Ni1 Ni 0.000 0.000 0.000
W1 W 0.000 0.000 0.333
W2 W 0.000 0.000 0.655
W3 W 0.500 0.000 0.227
W4 W 0.500 0.000 0.556
W5 W 0.500 0.000 0.896
# Energy of formation (eV/atom): 0.34

Record 5
# NiW3 | the Alexandria database | PBE | relaxed
data_NiW3
_cell_length_a 9.152
_cell_length_b 2.706
_cell_length_c 4.944
_cell_angle_alpha 90.00
_cell_angle_beta 98.96
_cell_angle_gamma 90.00
_symmetry_space_group_name_H-M 'C 1 2/m 1'
_symmetry_Int_Tables_number 12
_symmetry_space_group_name_Hall '-C 2y'
loop_
_atom_site_label
_atom_site_type_symbol
_atom_site_fract_x
_atom_site_fract_y
_atom_site_fract_z
Ni1 Ni 0.000 0.000 0.000
W1 W 0.000 0.500 0.500
W2 W 0.238 0.500 0.237
# Energy of formation (eV/atom): 0.25

Record 6
# NiW2 | the Alexandria database | PBE | relaxed
data_NiW2
_cell_length_a 10.230
_cell_length_b 2.672
_cell_length_c 6.627
_cell_angle_alpha 90.00
_cell_angle_beta 103.63
_cell_angle_gamma 90.00
_symmetry_space_group_name_H-M 'C 1 m 1'
_symmetry_Int_Tables_number 8
_symmetry_space_group_name_Hall 'C -2y'
loop_
_atom_site_label
_atom_site_type_symbol
_atom_site_fract_x
_atom_site_fract_y
_atom_site_fract_z
Ni1 Ni 0.000 0.000 0.000
Ni2 Ni 0.171 0.500 0.331
W1 W 0.066 0.000 0.611
W2 W 0.216 0.500 0.959
W3 W 0.333 0.000 0.659
W4 W 0.399 0.000 0.272
# Energy of formation (eV/atom): 0.21

Record 7
# NiW2 | the Alexandria database | PBE | relaxed
data_NiW2
_cell_length_a 5.780
_cell_length_b 5.780
_cell_length_c 5.780
_cell_angle_alpha 90.00
_cell_angle_beta 90.00
_cell_angle_gamma 90.00
_symmetry_space_group_name_H-M 'F m -3 m'
_symmetry_Int_Tables_number 225
_symmetry_space_group_name_Hall '-F 4 2 3'
loop_
_atom_site_label
_atom_site_type_symbol
_atom_site_fract_x
_atom_site_fract_y
_atom_site_fract_z
Ni1 Ni 0.000 0.000 0.000
W1 W 0.250 0.250 0.250
# Energy of formation (eV/atom): 0.77

Record 8
# NiW5 | the Alexandria database | PBE | relaxed
data_NiW5
_cell_length_a 7.350
_cell_length_b 7.350
_cell_length_c 7.350
_cell_angle_alpha 90.00
_cell_angle_beta 90.00
_cell_angle_gamma 90.00
_symmetry_space_group_name_H-M 'F -4 3 m'
_symmetry_Int_Tables_number 216
_symmetry_space_group_name_Hall 'F -4 2 3'
loop_
_atom_site_label
_atom_site_type_symbol
_atom_site_fract_x
_atom_site_fract_y
_atom_site_fract_z
Ni1 Ni 0.000 0.000 0.000
W1 W 0.125 0.125 0.375
W2 W 0.250 0.250 0.750
# Energy of formation (eV/atom): 0.56

Record 9
# NiW2 | the Alexandria database | PBE | relaxed
data_NiW2
_cell_length_a 3.0575
_cell_length_b 3.0575
_cell_length_c 5.7703
_cell_angle_alpha 90.00
_cell_angle_beta 90.00
_cell_angle_gamma 120.00
_symmetry_space_group_name_H-M 'P -3 m 1'
_symmetry_Int_Tables_number 164
_symmetry_space_group_name_Hall '-P 3 2"'
loop_
_atom_site_label
_atom_site_type_symbol
_atom_site_fract_x
_atom_site_fract_y
_atom_site_fract_z
Ni1 Ni 0.0000 0.0000 0.0000
W1 W 0.3333 0.6667 0.3381
# Energy of formation (eV/atom): 0.53

Record 10
# NiW3 | the Alexandria database | PBE | relaxed
data_NiW3
_cell_length_a 4.041
_cell_length_b 4.041
_cell_length_c 7.371
_cell_angle_alpha 90.00
_cell_angle_beta 90.00
_cell_angle_gamma 90.00
_symmetry_space_group_name_H-M 'I 4/m m m'
_symmetry_Int_Tables_number 139
_symmetry_space_group_name_Hall '-I 4 2'
loop_
_atom_site_label
_atom_site_type_symbol
_atom_site_fract_x
_atom_site_fract_y
_atom_site_fract_z
Ni1 Ni 0.000 0.000 0.000
W1 W 0.000 0.000 0.500
W2 W 0.000 0.500 0.250
# Energy of formation (eV/atom): 0.23

Record 11
# Ni2W | the Alexandria database | PBE | relaxed
data_Ni2W
_cell_length_a 4.286
_cell_length_b 4.286
_cell_length_c 2.631
_cell_angle_alpha 90.00
_cell_angle_beta 90.00
_cell_angle_gamma 90.00
_symmetry_space_group_name_H-M 'P 4/m m m'
_symmetry_Int_Tables_number 123
_symmetry_space_group_name_Hall '-P 4 2'
loop_
_atom_site_label
_atom_site_type_symbol
_atom_site_fract_x
_atom_site_fract_y
_atom_site_fract_z
Ni1 Ni 0.000 0.500 0.000
W1 W 0.000 0.000 0.500
# Energy of formation (eV/atom): 0.76

Record 12
# Ni2W | the Alexandria database | PBE | relaxed
data_Ni2W
_cell_length_a 3.705
_cell_length_b 3.705
_cell_length_c 22.048
_cell_angle_alpha 90.00
_cell_angle_beta 90.00
_cell_angle_gamma 90.00
_symmetry_space_group_name_H-M 'I 41/a m d'
_symmetry_Int_Tables_number 141
loop_
_symmetry_equiv_pos_as_xyz
'x,y,z'
'-x,-y,-z'
'-y+1/4,x+3/4,z+1/4'
'y+1/4,-x+3/4,-z+1/4'
'-x+1/2,-y,z+1/2'
'x+1/2,y,-z+1/2'
'y+1/4,-x+1/4,z+3/4'
'-y+1/4,x+1/4,-z+3/4'
'x,-y,-z'
'-x,y,z'
'-y+1/4,-x+1/4,-z+3/4'
'y+1/4,x+1/4,z+3/4'
'-x+1/2,y,-z+1/2'
'x+1/2,-y,z+1/2'
'y+1/4,x+3/4,-z+1/4'
'-y+1/4,-x+3/4,z+1/4'
'x+1/2,y+1/2,z+1/2'
'-x+1/2,-y+1/2,-z+1/2'
'-y+3/4,x+1/4,z+3/4'
'y+3/4,-x+1/4,-z+3/4'
'-x,-y+1/2,z'
'x,y+1/2,-z'
'y+3/4,-x+3/4,z+1/4'
'-y+3/4,x+3/4,-z+1/4'
'x+1/2,-y+1/2,-z+1/2'
'-x+1/2,y+1/2,z+1/2'
'-y+3/4,-x+3/4,-z+1/4'
'y+3/4,x+3/4,z+1/4'
'-x,y+1/2,-z'
'x,-y+1/2,z'
'y+3/4,x+1/4,-z+3/4'
'-y+3/4,-x+1/4,z+3/4'
loop_
_atom_site_label
_atom_site_type_symbol
_atom_site_fract_x
_atom_site_fract_y
_atom_site_fract_z
Ni1 Ni 0.000 0.250 0.125
Ni2 Ni 0.000 0.250 0.293
W1 W 0.000 0.250 0.792
# Energy of formation (eV/atom): 0.05